A geometry-optimized OsO3 structure. Source: OQMD, functional GGA-PBE.

Calculated values
As for the total moment: 0.001 μB per atom. The calculation puts the energy at -7.40 eV/atom.

The structure in CIF format:
```
data_OsO3
_chemical_formula_sum 'Os4 O12'
_space_group_name_H-M_alt 'C 1 2/c 1'
_space_group_IT_number 15
_space_group_name_Hall '-C 2yc'
_cell_length_a 5.032
_cell_length_b 8.552
_cell_length_c 4.968
_cell_angle_alpha 90.00
_cell_angle_beta 114.16
_cell_angle_gamma 90.00
loop_
_atom_site_label
_atom_site_type_symbol
_atom_site_fract_x
_atom_site_fract_y
_atom_site_fract_z
Os1 Os 0.000 0.102 0.250
O1 O 0.218 0.063 0.021
O2 O 0.250 0.250 0.500
```